# 1
# La2PrNi

A relaxed La2PrNi crystal (PBE, the Alexandria database).

VASP energy: -20.791 eV/cell
formation enthalpy at 0 K: -0.094 eV/atom

```
data_La2PrNi
_cell_length_a 3.616
_cell_length_b 3.616
_cell_length_c 9.104
_cell_angle_alpha 90.00
_cell_angle_beta 90.00
_cell_angle_gamma 90.00
_space_group_name_H-M_alt 'P 4/m m m'
_space_group_IT_number 123
_space_group_name_Hall '-P 4 2'
loop_
_atom_site_label
_atom_site_fract_x
_atom_site_fract_y
_atom_site_fract_z
La1 0.000 0.000 0.183
Pr1 0.500 0.500 0.500
Ni1 0.500 0.500 0.000
```

# 2
# LaPr5Ni2

A relaxed LaPr5Ni2 crystal (PBE, the Alexandria database).

VASP energy: -164.102 eV/cell
formation enthalpy at 0 K: -0.080 eV/atom

```
data_LaPr5Ni2
_cell_length_a 3.800
_cell_length_b 13.588
_cell_length_c 18.999
_cell_angle_alpha 90.00
_cell_angle_beta 90.00
_cell_angle_gamma 90.00
_space_group_name_H-M_alt 'C m c m'
_space_group_IT_number 63
_space_group_name_Hall '-C 2c 2'
loop_
_atom_site_label
_atom_site_fract_x
_atom_site_fract_y
_atom_site_fract_z
La1 0.000 0.202 0.250
Pr1 0.000 0.070 0.750
Pr2 0.000 0.171 0.061
Pr3 0.000 0.437 0.090
Ni1 0.000 0.210 0.638
```

# 3
# La2Pr2Ni3

A relaxed La2Pr2Ni3 crystal (PBE, the Alexandria database).

VASP energy: -76.270 eV/cell
formation enthalpy at 0 K: -0.197 eV/atom

```
data_La2Pr2Ni3
_cell_length_a 14.956
_cell_length_b 4.335
_cell_length_c 5.893
_cell_angle_alpha 90.00
_cell_angle_beta 111.05
_cell_angle_gamma 90.00
_space_group_name_H-M_alt 'C 1 2/m 1'
_space_group_IT_number 12
loop_
_space_group_symop_operation_xyz
'x,y,z'
'-x,-y,-z'
'-x,y,-z'
'x,-y,z'
'x+1/2,y+1/2,z'
'-x+1/2,-y+1/2,-z'
'-x+1/2,y+1/2,-z'
'x+1/2,-y+1/2,z'
loop_
_atom_site_label
_atom_site_fract_x
_atom_site_fract_y
_atom_site_fract_z
La1 0.135 0.000 0.210
Pr1 0.113 0.500 0.681
Ni1 0.000 0.500 0.000
Ni2 0.240 0.000 0.851
```

# 4
# La2PrNi

A relaxed La2PrNi crystal (PBE, the Alexandria database).

VASP energy: -60.648 eV/cell
formation enthalpy at 0 K: 0.050 eV/atom

```
data_La2PrNi
_cell_length_a 3.7915
_cell_length_b 3.7915
_cell_length_c 31.7468
_cell_angle_alpha 90.00
_cell_angle_beta 90.00
_cell_angle_gamma 120.00
_space_group_name_H-M_alt 'R -3 m'
_space_group_IT_number 166
_space_group_name_Hall '-R 3 2"'
loop_
_atom_site_label
_atom_site_fract_x
_atom_site_fract_y
_atom_site_fract_z
La1 0.0000 0.0000 0.1116
Pr1 0.0000 0.0000 0.0000
Ni1 0.0000 0.0000 0.5000
```

# 5
# LaPr4Ni4

A relaxed LaPr4Ni4 crystal (PBE, the Alexandria database).

VASP energy: -97.550 eV/cell
formation enthalpy at 0 K: -0.178 eV/atom

```
data_LaPr4Ni4
_cell_length_a 8.679
_cell_length_b 8.679
_cell_length_c 6.018
_cell_angle_alpha 90.00
_cell_angle_beta 90.00
_cell_angle_gamma 90.00
_space_group_name_H-M_alt 'P 42/n'
_space_group_IT_number 86
loop_
_space_group_symop_operation_xyz
'x,y,z'
'-x,-y,-z'
'-y,x+1/2,z+1/2'
'y,-x+1/2,-z+1/2'
'-x+1/2,-y+1/2,z'
'x+1/2,y+1/2,-z'
'y+1/2,-x,z+1/2'
'-y+1/2,x,-z+1/2'
loop_
_atom_site_label
_atom_site_fract_x
_atom_site_fract_y
_atom_site_fract_z
La1 0.250 0.250 0.250
Pr1 0.058 0.667 0.152
Ni1 0.022 0.617 0.630
```

# 6
# La3Pr2Ni2

A relaxed La3Pr2Ni2 crystal (PBE, the Alexandria database).

VASP energy: -74.366 eV/cell
formation enthalpy at 0 K: -0.183 eV/atom

```
data_La3Pr2Ni2
_cell_length_a 12.337
_cell_length_b 3.844
_cell_length_c 9.221
_cell_angle_alpha 90.00
_cell_angle_beta 113.18
_cell_angle_gamma 90.00
_space_group_name_H-M_alt 'C 1 2/m 1'
_space_group_IT_number 12
loop_
_space_group_symop_operation_xyz
'x,y,z'
'-x,-y,-z'
'-x,y,-z'
'x,-y,z'
'x+1/2,y+1/2,z'
'-x+1/2,-y+1/2,-z'
'-x+1/2,y+1/2,-z'
'x+1/2,-y+1/2,z'
loop_
_atom_site_label
_atom_site_fract_x
_atom_site_fract_y
_atom_site_fract_z
La1 0.000 0.000 0.000
La2 0.116 0.000 0.427
Pr1 0.170 0.500 0.808
Ni1 0.155 0.500 0.222
```